{
  "formula": "HoTm5Bi4",
  "functional": "PBE",
  "state": "optimized geometry",
  "lattice_angstrom": [[9.865, -2.176, 0.000], [9.865, 2.176, 0.000], [-1.469, 0.000, 7.454]],
  "species": ["Ho", "Tm", "Tm", "Tm", "Tm", "Tm", "Bi", "Bi", "Bi", "Bi"],
  "fractional_positions": [[0.000, 0.000, 0.000], [0.000, 0.000, 0.500], [0.303, 0.303, 0.387], [0.311, 0.311, 0.914], [0.689, 0.689, 0.086], [0.697, 0.697, 0.613], [0.134, 0.134, 0.325], [0.437, 0.437, 0.222], [0.563, 0.563, 0.778], [0.866, 0.866, 0.675]],
  "dft_energy_ev_per_cell": -47.599,
  "delta_e_f_ev_per_atom": -0.514,
  "density_g_cm3": 9.58,
  "crystal_system": "monoclinic"
}



{
  "formula": "MgTl2Br2Cl2",
  "functional": "PBE",
  "state": "optimized geometry",
  "lattice_angstrom": [[4.991, 0.000, 0.000], [0.000, 4.991, 0.000], [0.000, 0.000, 17.029]],
  "species": ["Mg", "Mg", "Tl", "Tl", "Tl", "Tl", "Br", "Br", "Br", "Br", "Cl", "Cl", "Cl", "Cl"],
  "fractional_positions": [[0.000, 0.000, 0.000], [0.500, 0.500, 0.500], [0.000, 0.000, 0.358], [0.000, 0.000, 0.642], [0.500, 0.500, 0.142], [0.500, 0.500, 0.858], [0.000, 0.000, 0.160], [0.000, 0.000, 0.840], [0.500, 0.500, 0.340], [0.500, 0.500, 0.660], [0.000, 0.500, 0.000], [0.000, 0.500, 0.500], [0.500, 0.000, 0.000], [0.500, 0.000, 0.500]],
  "dft_energy_ev_per_cell": -44.364,
  "density_g_cm3": 5.20,
  "crystal_system": "tetragonal"
}



Number 1: density of states at the Fermi level 0.81 states/eV per atom. Number 2: density of states at the Fermi level 0.00 states/eV per atom.